Record 1
DyCoNO: optimized geometry, PBE+U.

Cell: 4.7618 4.7618 4.3341 Å, 90.00 90.00 90.00°
Sites, in units of the cell vectors:
Dy1 0.2500 0.7500 0.0000
Dy2 0.7500 0.2500 0.0000
Co1 0.2500 0.2500 0.4982
Co2 0.7500 0.7500 0.5018
N1 0.2500 0.2500 0.9978
N2 0.7500 0.7500 0.0022
O1 0.2500 0.7500 0.5000
O2 0.7500 0.2500 0.5000

Properties
magnetization: 5.9 μB per cell
distance to the lowest polymorph of the same formula: 118 meV per atom
space group: No. 129



Record 2
DyCoNO: optimized geometry, PBE+U.

Cell: 4.8115 4.8115 4.3598 Å, 90.01 90.01 90.86°
Sites, in units of the cell vectors:
Dy1 0.2450 0.7550 0.0000
Dy2 0.7550 0.2450 0.0000
Co1 0.2749 0.2749 0.5010
Co2 0.7236 0.7236 0.4988
N1 0.2471 0.2471 0.9990
N2 0.7542 0.7542 0.0011
O1 0.2879 0.7173 0.5000
O2 0.7173 0.2879 0.5000

Properties
magnetization: 6.0 μB per cell
distance to the lowest polymorph of the same formula: 37 meV per atom
space group: No. 8